Na4Pu | PBE-GGA | optimized geometry

Calculated values
M_tot: 7.5 μB per formula unit
D(E_F): 4.80 states/eV/atom
final energy: -3.0151 eV/atom
space group: Pm-3m (221)
calculated volume: 297 Å³/f.u.
formation energy: 0.9065 eV/atom

```
5
Lattice="6.6749 0.0000 0.0000 0.0000 6.6749 0.0000 0.0000 0.0000 6.6749" Properties=species:S:1:pos:R:3 pbc="T T T"
Na 0.0000 0.0000 0.0000
Na 0.0000 3.3375 3.3375
Na 3.3375 0.0000 3.3375
Na 3.3375 3.3375 0.0000
Pu 3.3375 3.3375 3.3375
```